1 | Below is a geometry-optimized TiMo6W2 structure, with properties calculated at the PBE level.

It has space group P-31m (No. 162), with a = 7.7293 Å, b = 7.7293 Å, c = 2.7637 Å, α = 90.00°, β = 90.00° and γ = 120.00°. The distinct sites, in fractional coordinates, are Ti at (0.0000, 0.0000, 0.0000), Mo at (0.0000, 0.3337, 0.3385) and W at (0.3333, 0.6667, 0.0000).

The total magnetization comes out at 0.00 μB/cell.

***

2 | Below is a geometry-optimized TiMo6W2 structure, with properties calculated at the PBE level.

It has space group C2/m (No. 12), with a = 8.812 Å, b = 5.432 Å, c = 6.897 Å, α = 90.00°, β = 114.54° and γ = 90.00°. The distinct sites, in fractional coordinates, are Ti at (0.000, 0.000, 0.000), Mo at (0.063, 0.263, 0.709), Mo at (0.230, 0.000, 0.451) and W at (0.170, 0.500, 0.122).

The total magnetization comes out at 0.00 μB/cell.

***

1 ends up most stable, edging out the next structure by 495 meV per atom.